KTiTl2 after structural relaxation, computed with PBE.

a = 5.8569 Å, b = 5.8569 Å, c = 10.3685 Å
α = 73.59°, β = 73.59°, γ = 90.00°
Last column: nearest neighbours and their distance in Å.
Sites, in units of the cell vectors:
Tl (0.8750, 0.0344, 0.7500)  2 Ti 2.84, 2 Tl 3.11
Tl (0.3750, 0.2156, 0.7500)  2 Ti 2.84, 2 Tl 3.11
Tl (0.9656, 0.6250, 0.2500)  2 Ti 2.84, 2 Tl 3.11
Tl (0.7844, 0.1250, 0.2500)  2 Ti 2.84, 2 Tl 3.11
Ti (0.0000, 0.0000, 0.0000)  4 Tl 2.84
Ti (0.7500, 0.2500, 0.5000)  4 Tl 2.84
K (0.2500, 0.7500, 0.5000)  4 Tl 3.68
K (0.5000, 0.5000, 0.0000)  4 Tl 3.68

* total energy: -2.89 eV per atom
* space group: I-42d, No. 122
* ΔH_f (0 K): 53 kJ/mol of atoms
* energy above the lowest structure with this stoichiometry: 0.39 eV per formula unit
* D(E_F): 1.290 states/eV per atom